! SmMgH8Ir2 (PBE, optimized geometry); values from VASP
&SYSTEM
  ibrav = 0, nat = 12, ntyp = 4
/
ATOMIC_SPECIES
Sm 150.36 Sm.upf
Mg 24.30 Mg.upf
H 1.01 H.upf
Ir 192.22 Ir.upf
ATOMIC_POSITIONS angstrom
Sm 0.0000 0.0000 0.0000
Mg 0.0000 0.0000 8.2108
H -1.0595 -0.6117 6.6890
H 0.0000 0.0000 5.2134
H 0.0000 -1.2234 9.7325
H -1.0595 0.6117 9.7325
H 1.0595 -0.6117 6.6890
H 0.0000 1.2234 6.6890
H 0.0000 0.0000 11.2081
H 1.0595 0.6117 9.7325
Ir 0.0000 0.0000 3.5842
Ir 0.0000 0.0000 12.8373
CELL_PARAMETERS angstrom
2.3605 1.3628 5.4738
-2.3605 1.3628 5.4738
0.0000 -2.7256 5.4738
! Mass density ... 8.9 g/cm3
! Electronic total energy ... -4.46 eV/atom